<i>
A plane-wave DFT calculation with PBE was carried out for crystalline HfZr6Al at its relaxed geometry.

Geometry as extended XYZ:
```
8
Lattice="5.6151 0.0000 0.0000 -0.0040 5.6227 0.0000 -0.0255 -0.0003 5.6270" Properties=species:S:1:pos:R:3 pbc="T T T"
Hf 0.0000 0.0000 0.0000
Zr -0.0115 2.8089 4.2058
Zr 1.4011 5.6218 2.8426
Zr 2.7966 4.2004 0.0003
Zr 2.7890 1.4220 5.6267
Zr 4.1845 0.0006 2.7844
Zr 5.5971 2.8136 1.4212
Al 2.7928 2.8112 2.8135
```

<ii>
A plane-wave DFT calculation with PBE was carried out for crystalline HfZr6Al at its relaxed geometry.

Geometry as extended XYZ:
```
8
Lattice="6.4481 0.0000 0.0000 0.0000 6.4481 0.0000 0.0000 0.0000 4.2508" Properties=species:S:1:pos:R:3 pbc="T T T"
Hf 0.0000 0.0000 0.0000
Zr 0.0000 3.2240 0.0000
Zr 1.6544 1.6544 2.1254
Zr 1.6544 4.7937 2.1254
Zr 3.2240 0.0000 0.0000
Zr 4.7937 1.6544 2.1254
Zr 4.7937 4.7937 2.1254
Al 3.2240 3.2240 0.0000
```

The structure with the most favorable energy is <ii>; the runner-up is 0.050 eV/atom above it.

<i>
A plane-wave DFT calculation with PBE was carried out for crystalline Hf5ZrAl2 at its relaxed geometry.

Geometry as extended XYZ:
```
16
Lattice="6.1413 0.0000 0.0000 0.0000 12.2815 0.0000 0.0000 0.0000 4.3392" Properties=species:S:1:pos:R:3 pbc="T T T"
Hf 0.0000 0.0000 0.0000
Hf 0.0064 3.0613 0.0000
Hf 1.5253 10.7384 2.1696
Hf 1.5453 4.5977 2.1696
Hf 3.0643 9.2020 0.0000
Hf 3.0707 6.1407 0.0000
Hf 3.0770 3.0794 0.0000
Hf 4.5960 7.6838 2.1696
Hf 4.6160 1.5430 2.1696
Hf 6.1350 9.2202 0.0000
Zr 0.0000 6.1407 0.0000
Zr 3.0707 0.0000 0.0000
Al 1.5288 1.5415 2.1696
Al 1.5418 7.6823 2.1696
Al 4.5995 4.5992 2.1696
Al 4.6125 10.7399 2.1696
```

<ii>
A plane-wave DFT calculation with PBE was carried out for crystalline Hf5ZrAl2 at its relaxed geometry.

Geometry as extended XYZ:
```
8
Lattice="-1.5997 4.7970 5.5387 1.5997 -4.7970 5.5387 1.5997 4.7970 -5.5387" Properties=species:S:1:pos:R:3 pbc="T T T"
Hf 0.0000 0.0000 0.0000
Hf 1.5997 2.1478 -1.5040
Hf 1.5997 2.1478 1.5040
Hf 0.0000 2.6492 4.0346
Hf 0.0000 2.6492 7.0427
Zr 0.0000 4.7970 0.0000
Al 0.0000 0.0000 2.9205
Al 0.0000 0.0000 8.1568
```

The structure with the most favorable energy is <i>; the runner-up is 0.124 eV/atom above it.

<i>
A plane-wave DFT calculation with PBE was carried out for crystalline Hf6ZrAl at its relaxed geometry.

Geometry as extended XYZ:
```
8
Lattice="4.0113 2.3159 3.1262 -4.0113 2.3159 3.1262 0.0000 -4.6318 3.1262" Properties=species:S:1:pos:R:3 pbc="T T T"
Hf -2.9209 -0.4490 3.9555
Hf -1.0716 -2.7541 5.4232
Hf 1.8493 -2.3051 3.9555
Hf -1.8493 2.3051 5.4232
Hf 1.0716 2.7541 3.9555
Hf 2.9209 0.4490 5.4232
Zr 0.0000 0.0000 4.6894
Al 0.0000 0.0000 0.0000
```

<ii>
A plane-wave DFT calculation with PBE was carried out for crystalline Hf6ZrAl at its relaxed geometry.

Geometry as extended XYZ:
```
8
Lattice="4.2561 0.0000 0.0000 0.0000 4.4818 4.5278 0.0000 -4.4818 4.5278" Properties=species:S:1:pos:R:3 pbc="T T T"
Hf 0.0000 0.0000 0.0000
Hf 0.0000 -2.1885 6.8094
Hf 0.0000 2.1885 6.8094
Hf 2.1281 0.0000 2.2555
Hf 2.1281 -2.2599 4.5537
Hf 2.1281 2.2599 4.5537
Zr 0.0000 0.0000 4.5692
Al 2.1281 0.0000 6.8186
```

The structure with the most favorable energy is <ii>; the runner-up is 0.100 eV/atom above it.